1.
VASP calculation (GGA-PBEsol) on a relaxed structure of MgCrGaS4. Values from VASP.

Formation energy (no corrections) = -0.87 eV per atom
Symmetry = Imma (74)

The structure in Quantum ESPRESSO input format:
```
&SYSTEM
  ibrav = 0, nat = 14, ntyp = 4
/
ATOMIC_SPECIES
Mg 24.30 Mg.upf
Cr 52.00 Cr.upf
Ga 69.72 Ga.upf
S 32.06 S.upf
CELL_PARAMETERS angstrom
-3.5776 3.5811 5.1268
3.5776 -3.5811 5.1268
3.5776 3.5811 -5.1268
ATOMIC_POSITIONS angstrom
Mg 0.0000 1.7906 1.2954
Mg 3.5776 1.7906 3.8313
Cr 3.5776 0.0000 0.0000
Cr 0.0000 0.0000 5.1268
Ga 1.7888 1.7906 -2.5634
Ga 1.7888 -1.7906 2.5634
S 3.5776 -0.1409 2.3793
S 1.9888 1.7906 -0.1046
S 5.1665 1.7906 -0.1046
S 3.5776 3.4402 -2.3793
S 0.0000 0.1409 7.5060
S -1.5889 1.7906 5.2314
S 1.5889 1.7906 5.2314
S 0.0000 3.7221 2.7475
```


2.
VASP calculation (GGA-PBEsol) on a relaxed structure of Tl2Rh2Pb. Values from VASP.

DOS(E_F) = 4.0 states/eV/cell
Symmetry = I4/mmm (139)
ΔH_f (0 K) = 8.9 kcal/mol of atoms

The structure in Quantum ESPRESSO input format:
```
&SYSTEM
  ibrav = 0, nat = 5, ntyp = 3
/
ATOMIC_SPECIES
Tl 204.38 Tl.upf
Rh 102.91 Rh.upf
Pb 207.20 Pb.upf
CELL_PARAMETERS angstrom
-2.1247 2.1247 6.0878
2.1247 -2.1247 6.0878
2.1247 2.1247 -6.0878
ATOMIC_POSITIONS angstrom
Tl 0.0000 0.0000 1.4536
Tl 0.0000 0.0000 10.7220
Rh 2.1247 0.0000 3.0439
Rh 0.0000 2.1247 3.0439
Pb 0.0000 0.0000 6.0878
```


3.
VASP calculation (GGA-PBEsol) on a relaxed structure of CrCoRe2. Values from VASP.

DOS(E_F) = 4.4 states/eV/cell
Energy above the most stable polymorph in this dataset = 158 meV per atom
Symmetry = F-43m (216)
ΔH_f (0 K) = 4.5 kcal/mol of atoms

The structure in Quantum ESPRESSO input format:
```
&SYSTEM
  ibrav = 0, nat = 4, ntyp = 3
/
ATOMIC_SPECIES
Cr 52.00 Cr.upf
Co 58.93 Co.upf
Re 186.21 Re.upf
CELL_PARAMETERS angstrom
0.0000 2.9685 2.9685
2.9685 0.0000 2.9685
2.9685 2.9685 0.0000
ATOMIC_POSITIONS angstrom
Cr 0.0000 0.0000 0.0000
Co 4.4528 4.4528 4.4528
Re 1.4843 1.4843 1.4843
Re 2.9685 2.9685 2.9685
```


4.
VASP calculation (GGA-PBEsol) on a relaxed structure of NbBiP3. Values from VASP.

DOS(E_F) = 7.3 states/eV/cell
Symmetry = Pm-3m (221)
ΔH_f (0 K) = 40.7 kcal/mol of atoms

The structure in Quantum ESPRESSO input format:
```
&SYSTEM
  ibrav = 0, nat = 5, ntyp = 3
/
ATOMIC_SPECIES
Nb 92.91 Nb.upf
Bi 208.98 Bi.upf
P 30.97 P.upf
CELL_PARAMETERS angstrom
5.0184 0.0000 0.0000
0.0000 5.0184 0.0000
0.0000 0.0000 5.0184
ATOMIC_POSITIONS angstrom
Nb 0.0000 0.0000 0.0000
Bi 2.5092 2.5092 2.5092
P 0.0000 2.5092 2.5092
P 2.5092 0.0000 2.5092
P 2.5092 2.5092 0.0000
```